# 1
Compound: LiHo2Be2O6
Source: Alexandria via LeMat-Bulk
Functional: GGA-PBE
Structure: relaxed

Cell lengths 5.1770, 5.1770, 15.6805 Å; angles 90.00, 90.00, 120.00 degrees
Space group R-3m (No. 166, hexagonal axes)
Asymmetric unit:
Li (0.0000, 0.0000, 0.0000) [3 per cell]
Ho (0.0000, 0.0000, 0.2040) [6 per cell]
Be (0.0000, 0.0000, 0.4235) [6 per cell]
O (0.0043, 0.5022, 0.7600) [18 per cell]

Calculated values
* crystal system: trigonal
* Fermi-level density of states: 25.63 states/eV per cell
* formation energy without anion corrections: -2463 meV/atom


# 2
Compound: LiHo2BePd6
Source: Alexandria via LeMat-Bulk
Functional: GGA-PBE
Structure: relaxed

Cell lengths 5.892, 5.909, 6.541 Å; angles 63.49, 63.56, 60.24 degrees
Space group P-1 (No. 2)
Asymmetric unit:
Li (0.000, 0.000, 0.000) [1 per cell]
Ho (0.262, 0.262, 0.213) [2 per cell]
Be (0.500, 0.500, 0.500) [1 per cell]
Pd (0.236, 0.744, 0.276) [2 per cell]
Pd (0.256, 0.256, 0.723) [2 per cell]
Pd (0.256, 0.765, 0.723) [2 per cell]

Calculated values
* crystal system: triclinic
* Fermi-level density of states: 2.02 states/eV per cell
* DFT formation energy: -0.626 eV per atom